No. 1
VASP calculation (PBE+U) on crystalline BeFeO3 at its relaxed geometry. Values from VASP.

Output
Uncorrected energy (eV per atom): -5.261
SG: Pm-3m (221)

Structure (Quantum ESPRESSO input):
```
&SYSTEM
  ibrav = 0, nat = 5, ntyp = 3
/
ATOMIC_SPECIES
Be 9.01 Be.upf
Fe 55.84 Fe.upf
O 16.00 O.upf
ATOMIC_POSITIONS crystal
Be 0.000 0.000 0.000
Fe 0.500 0.500 0.500
O 0.000 0.500 0.500
O 0.500 0.000 0.500
O 0.500 0.500 0.000
CELL_PARAMETERS angstrom
3.675 0.000 0.000
0.000 3.675 0.000
0.000 0.000 3.675
```


No. 2
VASP calculation (PBE+U) on crystalline BeFe2O at its relaxed geometry. Values from VASP.

Output
Uncorrected energy (eV per atom): -4.970
SG: I-42d (122)

Structure (Quantum ESPRESSO input):
```
&SYSTEM
  ibrav = 0, nat = 8, ntyp = 3
/
ATOMIC_SPECIES
Be 9.01 Be.upf
Fe 55.84 Fe.upf
O 16.00 O.upf
ATOMIC_POSITIONS crystal
Be 0.000 0.000 0.000
Be 0.750 0.250 0.500
Fe 0.177 0.625 0.052
Fe 0.375 0.427 0.552
Fe 0.573 0.125 0.948
Fe 0.875 0.823 0.448
O 0.250 0.750 0.500
O 0.500 0.500 0.000
CELL_PARAMETERS angstrom
-2.802 2.802 3.625
2.802 -2.802 3.625
2.802 2.802 -3.625
```


No. 3
VASP calculation (PBE+U) on crystalline BeFe3O at its relaxed geometry. Values from VASP.

Output
Uncorrected energy (eV per atom): -4.598
SG: Pm-3m (221)

Structure (Quantum ESPRESSO input):
```
&SYSTEM
  ibrav = 0, nat = 5, ntyp = 3
/
ATOMIC_SPECIES
Be 9.01 Be.upf
Fe 55.84 Fe.upf
O 16.00 O.upf
ATOMIC_POSITIONS crystal
Be 0.000 0.000 0.000
Fe 0.000 0.500 0.500
Fe 0.500 0.000 0.500
Fe 0.500 0.500 0.000
O 0.500 0.500 0.500
CELL_PARAMETERS angstrom
4.006 0.000 0.000
0.000 4.006 0.000
0.000 0.000 4.006
```


No. 4
VASP calculation (PBE+U) on crystalline BeFeP2O at its relaxed geometry. Values from VASP.

Output
Uncorrected energy (eV per atom): -4.375
SG: P4/mmm (123)

Structure (Quantum ESPRESSO input):
```
&SYSTEM
  ibrav = 0, nat = 5, ntyp = 4
/
ATOMIC_SPECIES
Be 9.01 Be.upf
Fe 55.84 Fe.upf
P 30.97 P.upf
O 16.00 O.upf
ATOMIC_POSITIONS crystal
Be 0.000 0.000 0.000
Fe 0.500 0.500 0.500
P 0.000 0.500 0.500
P 0.500 0.000 0.500
O 0.500 0.500 0.000
CELL_PARAMETERS angstrom
4.697 0.000 0.000
0.000 4.697 0.000
0.000 0.000 3.483
```


No. 5
VASP calculation (PBE+U) on crystalline BeFeP2O at its relaxed geometry. Values from VASP.

Output
Uncorrected energy (eV per atom): -5.076
SG: P4/mmm (123)

Structure (Quantum ESPRESSO input):
```
&SYSTEM
  ibrav = 0, nat = 5, ntyp = 4
/
ATOMIC_SPECIES
Be 9.01 Be.upf
Fe 55.84 Fe.upf
P 30.97 P.upf
O 16.00 O.upf
ATOMIC_POSITIONS crystal
Be 0.000 0.000 0.000
Fe 0.500 0.500 0.500
P 0.000 0.500 0.000
P 0.500 0.000 0.000
O 0.000 0.000 0.500
CELL_PARAMETERS angstrom
4.910 0.000 0.000
0.000 4.910 0.000
0.000 0.000 2.880
```


No. 6
VASP calculation (PBE+U) on crystalline PaBeFeO5 at its relaxed geometry. Values from VASP.

Output
Uncorrected energy (eV per atom): -7.869
SG: C2/c (15)

Structure (Quantum ESPRESSO input):
```
&SYSTEM
  ibrav = 0, nat = 16, ntyp = 4
/
ATOMIC_SPECIES
Pa 231.04 Pa.upf
Be 9.01 Be.upf
Fe 55.84 Fe.upf
O 16.00 O.upf
ATOMIC_POSITIONS crystal
Pa 0.000 0.500 0.000
Pa 0.500 0.000 0.500
Be 0.067 0.933 0.750
Be 0.933 0.067 0.250
Fe 0.410 0.590 0.750
Fe 0.590 0.410 0.250
O 0.160 0.287 0.807
O 0.180 0.801 0.594
O 0.199 0.820 0.906
O 0.287 0.160 0.307
O 0.372 0.628 0.250
O 0.628 0.372 0.750
O 0.713 0.840 0.693
O 0.801 0.180 0.094
O 0.820 0.199 0.406
O 0.840 0.713 0.193
CELL_PARAMETERS angstrom
3.073 -4.286 0.000
3.073 4.286 0.000
-2.992 0.000 7.576
```


- Look up the uncorrected energy of the fourth one.
  -4.375 eV per atom


Copy entry 3 word for word.
VASP calculation (PBE+U) on crystalline BeFe3O at its relaxed geometry. Values from VASP.

Output
Uncorrected energy (eV per atom): -4.598
SG: Pm-3m (221)

Structure (Quantum ESPRESSO input):
```
&SYSTEM
  ibrav = 0, nat = 5, ntyp = 3
/
ATOMIC_SPECIES
Be 9.01 Be.upf
Fe 55.84 Fe.upf
O 16.00 O.upf
ATOMIC_POSITIONS crystal
Be 0.000 0.000 0.000
Fe 0.000 0.500 0.500
Fe 0.500 0.000 0.500
Fe 0.500 0.500 0.000
O 0.500 0.500 0.500
CELL_PARAMETERS angstrom
4.006 0.000 0.000
0.000 4.006 0.000
0.000 0.000 4.006
```


Repeat the sixth record exactly.
VASP calculation (PBE+U) on crystalline PaBeFeO5 at its relaxed geometry. Values from VASP.

Output
Uncorrected energy (eV per atom): -7.869
SG: C2/c (15)

Structure (Quantum ESPRESSO input):
```
&SYSTEM
  ibrav = 0, nat = 16, ntyp = 4
/
ATOMIC_SPECIES
Pa 231.04 Pa.upf
Be 9.01 Be.upf
Fe 55.84 Fe.upf
O 16.00 O.upf
ATOMIC_POSITIONS crystal
Pa 0.000 0.500 0.000
Pa 0.500 0.000 0.500
Be 0.067 0.933 0.750
Be 0.933 0.067 0.250
Fe 0.410 0.590 0.750
Fe 0.590 0.410 0.250
O 0.160 0.287 0.807
O 0.180 0.801 0.594
O 0.199 0.820 0.906
O 0.287 0.160 0.307
O 0.372 0.628 0.250
O 0.628 0.372 0.750
O 0.713 0.840 0.693
O 0.801 0.180 0.094
O 0.820 0.199 0.406
O 0.840 0.713 0.193
CELL_PARAMETERS angstrom
3.073 -4.286 0.000
3.073 4.286 0.000
-2.992 0.000 7.576
```


- Number 4 is which compound?
  BeFeP2O